# 1
VASP calculation (PBE-GGA) on a relaxed TbHo6Sc12 crystal.

Calculated values
* SG: No. 166

abc: 8.1367 8.1367 8.1367
angles: 79.49 79.49 79.49
With the nearest neighbours (Å) after each atom.
Fractional positions:
Tb 0.0000 0.0000 0.0000  6 Ho 2.98
Ho 0.1656 0.7609 0.7609  1 Tb 2.98, 3 Sc 3.13-3.15
Ho 0.2391 0.2391 0.8344  1 Tb 2.98, 3 Sc 3.13-3.15
Ho 0.2391 0.8344 0.2391  1 Tb 2.98, 3 Sc 3.13-3.15
Ho 0.7609 0.1656 0.7609  1 Tb 2.98, 3 Sc 3.13-3.15
Ho 0.7609 0.7609 0.1656  1 Tb 2.98, 3 Sc 3.13-3.15
Ho 0.8344 0.2391 0.2391  1 Tb 2.98, 3 Sc 3.13-3.15
Sc 0.1382 0.1382 0.4852  3 Sc 3.16-3.41, 5 Ho 3.36-3.45
Sc 0.1382 0.4852 0.1382  3 Sc 3.16-3.41, 5 Ho 3.36-3.45
Sc 0.1936 0.5072 0.5072  3 Ho 3.13-3.15, 5 Sc 3.16-3.26
Sc 0.4852 0.1382 0.1382  3 Sc 3.16-3.41, 5 Ho 3.36-3.45
Sc 0.4928 0.4928 0.8064  3 Ho 3.13-3.15, 5 Sc 3.16-3.26
Sc 0.4928 0.8064 0.4928  3 Ho 3.13-3.15, 5 Sc 3.16-3.26
Sc 0.5072 0.1936 0.5072  3 Ho 3.13-3.15, 5 Sc 3.16-3.26
Sc 0.5072 0.5072 0.1936  3 Ho 3.13-3.15, 5 Sc 3.16-3.26
Sc 0.5148 0.8618 0.8618  3 Sc 3.16-3.41, 5 Ho 3.36-3.45
Sc 0.8064 0.4928 0.4928  3 Ho 3.13-3.15, 5 Sc 3.16-3.26
Sc 0.8618 0.5148 0.8618  3 Sc 3.16-3.41, 5 Ho 3.36-3.45
Sc 0.8618 0.8618 0.5148  3 Sc 3.16-3.41, 5 Ho 3.36-3.45

---

# 2
VASP calculation (PBE-GGA) on a relaxed Tb3Ho6Sc2 crystal.

Calculated values
* SG: No. 139

abc: 16.2828 16.2828 16.2828
angles: 163.45 163.45 23.49
With the nearest neighbours (Å) after each atom.
Fractional positions:
Tb 0.0000 0.0000 0.0000  8 Sc 3.59
Tb 0.1993 0.1993 0.0000  9 Ho 3.32-3.54
Tb 0.8007 0.8007 0.0000  9 Ho 3.32-3.54
Ho 0.1162 0.6162 0.5000  2 Sc 3.29, 6 Ho 3.31-3.40, 2 Tb 3.54
Ho 0.3065 0.3065 0.0000  5 Tb 3.32-3.42, 4 Ho 3.40
Ho 0.3838 0.8838 0.5000  2 Sc 3.29, 6 Ho 3.31-3.40, 2 Tb 3.54
Ho 0.6162 0.1162 0.5000  2 Sc 3.29, 6 Ho 3.31-3.40, 2 Tb 3.54
Ho 0.6935 0.6935 0.0000  5 Tb 3.32-3.42, 4 Ho 3.40
Ho 0.8838 0.3838 0.5000  2 Sc 3.29, 6 Ho 3.31-3.40, 2 Tb 3.54
Sc 0.4563 0.4563 0.0000  1 Sc 2.78
Sc 0.5437 0.5437 0.0000  1 Sc 2.78

---

# 3
VASP calculation (PBE-GGA) on a relaxed Tb3Ho6Sc crystal.

Calculated values
* SG: No. 12

abc: 6.1725 6.1725 8.7965
angles: 98.06 98.06 86.34
With the nearest neighbours (Å) after each atom.
Fractional positions:
Tb 0.0000 0.0000 0.0000  2 Tb 3.33, 6 Ho 3.42-3.48
Tb 0.2191 0.2191 0.7350  6 Ho 3.22-3.55, 1 Tb 3.33, 1 Sc 3.56
Tb 0.7809 0.7809 0.2650  6 Ho 3.22-3.55, 1 Tb 3.33, 1 Sc 3.56
Ho 0.0654 0.6980 0.6431  2 Ho 3.10-3.31, 1 Sc 3.22, 2 Tb 3.22-3.37
Ho 0.3020 0.9346 0.3569  2 Ho 3.10-3.31, 1 Sc 3.22, 2 Tb 3.22-3.37
Ho 0.3823 0.3823 0.1352  1 Sc 3.18, 3 Tb 3.42-3.55, 1 Ho 3.48
Ho 0.6177 0.6177 0.8648  1 Sc 3.18, 3 Tb 3.42-3.55, 1 Ho 3.48
Ho 0.6980 0.0654 0.6431  2 Ho 3.10-3.31, 1 Sc 3.22, 2 Tb 3.22-3.37
Ho 0.9346 0.3020 0.3569  2 Ho 3.10-3.31, 1 Sc 3.22, 2 Tb 3.22-3.37
Sc 0.5000 0.5000 0.5000  6 Ho 3.18-3.22, 2 Tb 3.56

---

# 4
VASP calculation (PBE-GGA) on a relaxed Tb2Ho7Sc3 crystal.

Calculated values
* SG: No. 65

abc: 18.5964 18.5964 3.5013
angles: 90.00 90.00 162.84
With the nearest neighbours (Å) after each atom.
Fractional positions:
Tb 0.1490 0.8510 0.0000  3 Ho 3.05-3.34
Tb 0.8510 0.1490 0.0000  3 Ho 3.05-3.34
Ho 0.0000 0.0000 0.0000  6 Ho 3.16-3.50, 4 Sc 3.28
Ho 0.0716 0.9284 0.5000  8 Ho 3.16-3.50, 2 Tb 3.34
Ho 0.2320 0.7680 0.0000  1 Tb 3.05, 2 Ho 3.07
Ho 0.4084 0.5916 0.0000  6 Ho 3.36-3.50, 2 Tb 3.49
Ho 0.5916 0.4084 0.0000  6 Ho 3.36-3.50, 2 Tb 3.49
Ho 0.7680 0.2320 0.0000  1 Tb 3.05, 2 Ho 3.07
Ho 0.9284 0.0716 0.5000  8 Ho 3.16-3.50, 2 Tb 3.34
Sc 0.3138 0.6862 0.5000  8 Ho 3.48-3.89, 2 Sc 3.50, 4 Tb 3.55
Sc 0.5000 0.5000 0.5000  4 Ho 3.28, 2 Sc 3.50
Sc 0.6862 0.3138 0.5000  8 Ho 3.48-3.89, 2 Sc 3.50, 4 Tb 3.55

---

# 5
VASP calculation (PBE-GGA) on a relaxed Tb5HoSc2 crystal.

Calculated values
* SG: No. 42

abc: 8.2721 7.0981 6.5827
angles: 74.30 55.70 50.00
With the nearest neighbours (Å) after each atom.
Fractional positions:
Tb 0.0000 0.0000 0.0000  2 Sc 3.42, 8 Tb 3.45-3.59, 2 Ho 3.56
Tb 0.4158 0.4158 0.0842  2 Ho 3.45, 6 Tb 3.45-3.56, 4 Sc 3.52-3.58
Tb 0.4957 0.9958 0.5043  4 Sc 3.44-3.45, 6 Tb 3.47-3.59, 2 Ho 3.51-3.59
Tb 0.9158 0.9158 0.5842  2 Ho 3.45, 6 Tb 3.45-3.56, 4 Sc 3.52-3.58
Tb 0.9958 0.4957 0.0042  4 Sc 3.44-3.45, 6 Tb 3.47-3.59, 2 Ho 3.51-3.59
Ho 0.4994 0.4994 0.5006  2 Sc 3.42, 10 Tb 3.45-3.59
Sc 0.4135 0.9129 0.0871  1 Ho 3.42, 9 Tb 3.42-3.58, 2 Sc 3.56
Sc 0.9129 0.4135 0.5865  1 Ho 3.42, 9 Tb 3.42-3.58, 2 Sc 3.56

---

# 6
VASP calculation (PBE-GGA) on a relaxed TbHo3Sc5 crystal.

Calculated values
* SG: No. 140

abc: 9.2296 9.2296 9.2296
angles: 126.45 126.45 79.16
With the nearest neighbours (Å) after each atom.
Fractional positions:
Tb 0.2500 0.7500 0.5000  4 Sc 2.92
Tb 0.7500 0.2500 0.5000  4 Sc 2.92
Ho 0.1192 0.6192 0.7383  1 Ho 2.80, 2 Sc 2.82
Ho 0.2500 0.2500 0.0000  10 Sc 3.41-3.56
Ho 0.3808 0.1192 0.5000  1 Ho 2.80, 2 Sc 2.82
Ho 0.6192 0.8808 0.5000  1 Ho 2.80, 2 Sc 2.82
Ho 0.7500 0.7500 0.0000  10 Sc 3.41-3.56
Ho 0.8808 0.3808 0.2617  1 Ho 2.80, 2 Sc 2.82
Sc 0.0000 0.0000 0.0000  6 Ho 3.32-3.56, 8 Sc 3.55
Sc 0.0706 0.1596 0.5000  1 Ho 2.82, 1 Tb 2.92
Sc 0.1596 0.6596 0.0889  1 Ho 2.82, 1 Tb 2.92
Sc 0.3404 0.4294 0.5000  1 Ho 2.82, 1 Tb 2.92
Sc 0.4294 0.9294 0.0889  1 Ho 2.82, 1 Tb 2.92
Sc 0.5000 0.5000 0.0000  6 Ho 3.32-3.56, 8 Sc 3.55
Sc 0.5706 0.0706 0.9111  1 Ho 2.82, 1 Tb 2.92
Sc 0.6596 0.5706 0.5000  1 Ho 2.82, 1 Tb 2.92
Sc 0.8404 0.3404 0.9111  1 Ho 2.82, 1 Tb 2.92
Sc 0.9294 0.8404 0.5000  1 Ho 2.82, 1 Tb 2.92

---

# 7
VASP calculation (PBE-GGA) on a relaxed TbHoSc crystal.

Calculated values
* SG: No. 107

abc: 7.6493 7.6493 7.6493
angles: 153.80 153.80 37.39
With the nearest neighbours (Å) after each atom.
Fractional positions:
Tb 0.0000 0.0000 0.0000  4 Sc 3.40, 4 Tb 3.47, 4 Ho 3.54
Ho 0.3236 0.3236 0.0000  4 Sc 3.39, 4 Ho 3.47, 4 Tb 3.54
Sc 0.6623 0.6623 0.0000  4 Ho 3.39, 4 Tb 3.40, 4 Sc 3.47

---

# 8
VASP calculation (PBE-GGA) on a relaxed Tb6HoSc6 crystal.

Calculated values
* SG: No. 191

abc: 6.4184 6.4184 10.8527
angles: 90.00 90.00 120.00
With the nearest neighbours (Å) after each atom.
Fractional positions:
Tb 0.0000 0.0000 0.1626  6 Sc 3.37, 1 Tb 3.53, 1 Ho 3.66
Tb 0.0000 0.0000 0.8374  6 Sc 3.37, 1 Tb 3.53, 1 Ho 3.66
Tb 0.3333 0.6667 0.0000  6 Sc 3.36, 3 Tb 3.71
Tb 0.3333 0.6667 0.5000  6 Sc 3.21
Tb 0.6667 0.3333 0.0000  6 Sc 3.36, 3 Tb 3.71
Tb 0.6667 0.3333 0.5000  6 Sc 3.21
Ho 0.0000 0.0000 0.5000  8 Tb 3.66-3.71
Sc 0.0000 0.5000 0.2579  4 Sc 3.21, 6 Tb 3.21-3.37
Sc 0.0000 0.5000 0.7421  4 Sc 3.21, 6 Tb 3.21-3.37
Sc 0.5000 0.0000 0.2579  4 Sc 3.21, 6 Tb 3.21-3.37
Sc 0.5000 0.0000 0.7421  4 Sc 3.21, 6 Tb 3.21-3.37
Sc 0.5000 0.5000 0.2579  4 Sc 3.21, 6 Tb 3.21-3.37
Sc 0.5000 0.5000 0.7421  4 Sc 3.21, 6 Tb 3.21-3.37

---

# 9
VASP calculation (PBE-GGA) on a relaxed Tb12Ho3Sc crystal.

Calculated values
* SG: No. 123

abc: 5.0047 5.0047 19.9641
angles: 90.00 90.00 90.00
With the nearest neighbours (Å) after each atom.
Fractional positions:
Tb 0.0000 0.0000 0.0000  8 Tb 3.49, 4 Sc 3.54
Tb 0.0000 0.0000 0.2475  4 Ho 3.54, 8 Tb 3.55
Tb 0.0000 0.0000 0.5000  4 Ho 3.54, 8 Tb 3.55
Tb 0.0000 0.0000 0.7525  4 Ho 3.54, 8 Tb 3.55
Tb 0.0000 0.5000 0.1216  8 Tb 3.49-3.55, 2 Sc 3.49, 2 Ho 3.55
Tb 0.0000 0.5000 0.3739  8 Tb 3.54-3.55, 4 Ho 3.55
Tb 0.0000 0.5000 0.6261  8 Tb 3.54-3.55, 4 Ho 3.55
Tb 0.0000 0.5000 0.8784  8 Tb 3.49-3.55, 2 Sc 3.49, 2 Ho 3.55
Tb 0.5000 0.0000 0.1216  8 Tb 3.49-3.55, 2 Sc 3.49, 2 Ho 3.55
Tb 0.5000 0.0000 0.3739  8 Tb 3.54-3.55, 4 Ho 3.55
Tb 0.5000 0.0000 0.6261  8 Tb 3.54-3.55, 4 Ho 3.55
Tb 0.5000 0.0000 0.8784  8 Tb 3.49-3.55, 2 Sc 3.49, 2 Ho 3.55
Ho 0.5000 0.5000 0.2481  12 Tb 3.54-3.55
Ho 0.5000 0.5000 0.5000  12 Tb 3.54-3.55
Ho 0.5000 0.5000 0.7519  12 Tb 3.54-3.55
Sc 0.5000 0.5000 0.0000  12 Tb 3.49-3.54

---

# 10
VASP calculation (PBE-GGA) on a relaxed Tb5Ho3Sc4 crystal.

Calculated values
* SG: No. 12

abc: 8.2641 8.2641 9.0677
angles: 115.61 115.61 40.52
With the nearest neighbours (Å) after each atom.
Fractional positions:
Tb 0.0000 0.0000 0.0000  2 Ho 2.86
Tb 0.1730 0.1730 0.3841  3 Sc 3.09-3.35, 4 Tb 3.27-3.45
Tb 0.4235 0.4235 0.5667  4 Tb 3.12-3.45, 1 Sc 3.36
Tb 0.5765 0.5765 0.4333  4 Tb 3.12-3.45, 1 Sc 3.36
Tb 0.8270 0.8270 0.6159  3 Sc 3.09-3.35, 4 Tb 3.27-3.45
Ho 0.2864 0.2864 0.1231  5 Sc 3.23-3.50, 2 Ho 3.48, 2 Tb 3.54-3.58
Ho 0.5000 0.5000 0.0000  2 Tb 2.86, 2 Sc 2.99
Ho 0.7136 0.7136 0.8769  5 Sc 3.23-3.50, 2 Ho 3.48, 2 Tb 3.54-3.58
Sc 0.0749 0.0749 0.6938  2 Sc 3.04-3.20
Sc 0.2871 0.2871 0.7670  2 Ho 2.99-3.23, 1 Sc 3.04, 1 Tb 3.09
Sc 0.7129 0.7129 0.2330  2 Ho 2.99-3.23, 1 Sc 3.04, 1 Tb 3.09
Sc 0.9251 0.9251 0.3062  2 Sc 3.04-3.20

---

Number 1: ΔH_f (0 K) 3.00 eV/f.u., calculated volume 27.1 Å³ per atom, DOS(E_F) 26.80 states/eV/f.u.. Number 2: ΔH_f (0 K) 3.30 eV/f.u., calculated volume 31.8 Å³ per atom, DOS(E_F) 18.57 states/eV/f.u.. Number 3: ΔH_f (0 K) 2.94 eV/f.u., calculated volume 32.8 Å³ per atom, DOS(E_F) 14.17 states/eV/f.u.. Number 4: ΔH_f (0 K) 1.98 eV/f.u., calculated volume 29.8 Å³ per atom, DOS(E_F) 17.68 states/eV/f.u.. Number 5: ΔH_f (0 K) 0.25 eV/f.u., calculated volume 30.3 Å³ per atom, DOS(E_F) 14.52 states/eV/f.u.. Number 6: ΔH_f (0 K) 2.62 eV/f.u., calculated volume 27.3 Å³ per atom, DOS(E_F) 9.94 states/eV/f.u.. Number 7: ΔH_f (0 K) 0.13 eV/f.u., calculated volume 29.0 Å³ per atom, DOS(E_F) 4.54 states/eV/f.u.. Number 8: ΔH_f (0 K) 2.95 eV/f.u., calculated volume 29.8 Å³ per atom, DOS(E_F) 27.28 states/eV/f.u.. Number 9: ΔH_f (0 K) 0.37 eV/f.u., calculated volume 31.3 Å³ per atom, DOS(E_F) 21.75 states/eV/f.u.. Number 10: ΔH_f (0 K) 2.88 eV/f.u., calculated volume 29.8 Å³ per atom, DOS(E_F) 20.82 states/eV/f.u..